Tl3GaHg4, optimized geometry, DFT PBE-GGA; SG = Imm2 (44); ΔE to the lowest computed polymorph = 0.020 eV/atom; ΔH_f (0 K) = 0.03 eV/atom; E_tot = -11.06 eV per formula unit
1.0
-3.1533 5.4022 3.3207
3.1533 -5.4022 3.3207
3.1533 5.4022 -3.3207
Tl Ga Hg
3 1 4
Direct
0.0000 0.0000 0.0000
0.0305 0.7339 0.2966
0.4374 0.7339 0.7034
0.8931 0.3931 0.5000
0.4945 0.2454 0.2491
0.5194 0.2840 0.7646
0.5194 0.7548 0.2354
0.9963 0.2454 0.7509